Material: NiBIrO5
Method: DFT, PBE+U
State: optimized geometry

Calculated values
Crystal system = monoclinic
Symmetry = C2/c (15)
VASP energy = -6.5520 eV/atom

a b c (Å): 5.0997 5.0997 6.9883
angles (deg): 104.42 104.42 106.65
Closest atoms and distances in Å follow each position.
Fractional positions:
Ni  0.1685  0.8315  0.7500  3 O 1.93-2.11
Ni  0.8315  0.1685  0.2500  3 O 1.93-2.11
B  0.1869  0.8131  0.2500  4 O 1.49-1.50
B  0.8131  0.1869  0.7500  4 O 1.49-1.50
Ir  0.5000  0.5000  0.0000  6 O 1.91-2.02
Ir  0.5000  0.5000  0.5000  6 O 1.91-2.02
O  0.0937  0.2301  0.9096  1 B 1.50
O  0.1590  0.5862  0.3503  1 B 1.49
O  0.2301  0.0937  0.4096  1 B 1.50
O  0.4048  0.5952  0.7500  2 Ir 1.91, 1 Ni 1.93
O  0.4138  0.8410  0.1497  1 B 1.49
O  0.5862  0.1590  0.8503  1 B 1.49
O  0.5952  0.4048  0.2500  2 Ir 1.91, 1 Ni 1.93
O  0.7699  0.9063  0.5904  1 B 1.50
O  0.8410  0.4138  0.6497  1 B 1.49
O  0.9063  0.7699  0.0904  1 B 1.50